Crystalline RbCoPO2 at its relaxed geometry, computed with GGA+U.

Properties
E_tot = -21.15 eV per cell

abc: 4.1975 4.1975 4.3297
angles: 90.00 90.00 90.00
Closest atoms and distances in Å follow each position.
Fractional positions:
Rb 0.0000 0.0000 0.0000  4 P 2.97, 8 O 3.02
Co 0.5000 0.5000 0.5000  4 O 2.10, 2 P 2.16
P 0.5000 0.5000 0.0000  2 Co 2.16
O 0.0000 0.5000 0.5000  2 Co 2.10
O 0.5000 0.0000 0.5000  2 Co 2.10